A relaxed structure of TlPb3O4, computed with PBE.

Unit cell a=9.427 b=5.862 c=5.932 alpha=90.00 beta=90.00 gamma=90.00
Space group Pmn2_1 (No. 31)
Symmetry-distinct sites (fractional):
Tl: 0.000 0.225 0.000
Pb: 0.000 0.770 0.496
Pb: 0.249 0.731 0.011
O: 0.000 0.145 0.390
O: 0.000 0.842 0.867
O: 0.249 0.351 0.912

Properties
Its uncorrected formation energy is -6.76 eV/f.u. The size of the total moment comes out at 0.0 μB per cell.

A relaxed structure of CaPHO, computed with PBE.

Unit cell a=3.892 b=4.090 c=4.527 alpha=91.33 beta=109.41 gamma=117.25
Space group P1 (No. 1)
Symmetry-distinct sites (fractional):
Ca: 0.000 0.000 0.000
P: 0.046 0.474 0.528
H: 0.444 0.636 0.486
O: 0.728 0.400 0.144

Properties
The size of the total moment comes out at 0.0 μB per cell. The calculation puts the distance to the lowest polymorph of the same formula at 0.0000 eV/atom.